# 1
ThAlCo | PBE | optimized geometry

- M_tot (μB/f.u.) = 0.00
- space group = Pnma
- final energy (hartree per atom) = -0.240

```
ThAlCo
1.0
7.508 0.000 0.000
0.000 4.538 0.000
0.000 0.000 6.700
Co Th Al
4 4 4
direct
0.360 0.250 0.432
0.140 0.750 0.932
0.640 0.750 0.568
0.860 0.250 0.068
0.468 0.750 0.179
0.968 0.750 0.321
0.532 0.250 0.821
0.032 0.250 0.679
0.314 0.750 0.616
0.186 0.250 0.116
0.814 0.750 0.884
0.686 0.250 0.384
```

---

# 2
ThAlCo | PBE | optimized geometry

- M_tot (μB/f.u.) = 0.01
- space group = P-62m
- final energy (hartree per atom) = -0.212

```
ThAlCo
1.0
-3.646 0.063 -7.571
6.745 -4.817 1.380
-1.935 -2.448 0.912
Co Th Al
3 3 3
direct
0.000 0.524 0.500
0.524 0.000 0.500
0.476 0.476 0.500
0.000 0.000 0.500
0.333 0.667 0.000
0.667 0.333 0.000
0.696 0.696 0.000
0.304 0.000 0.000
0.000 0.304 0.000
```

---

# 3
ThAlCo | PBE | optimized geometry

- M_tot (μB/f.u.) = 0.00
- space group = P-62m
- final energy (hartree per atom) = -0.243

```
ThAlCo
1.0
6.926 0.000 0.000
-3.463 5.998 0.000
0.000 0.000 4.066
Co Th Al
3 3 3
direct
0.000 0.000 0.500
0.333 0.667 0.000
0.667 0.333 0.000
0.000 0.579 0.500
0.421 0.421 0.500
0.579 0.000 0.500
0.772 0.772 0.000
0.000 0.228 0.000
0.228 0.000 0.000
```

---

# 4
ThAlCo | PBE | optimized geometry

- M_tot (μB/f.u.) = 0.03
- space group = P-62m
- final energy (hartree per atom) = -0.228

```
ThAlCo
1.0
-2.328 5.548 -3.048
-1.641 -1.261 6.419
3.566 2.239 1.351
Co Al Th
3 3 3
direct
0.000 0.226 0.000
0.226 0.000 0.000
0.774 0.774 0.000
0.667 0.333 0.000
0.333 0.667 0.000
0.000 0.000 0.500
0.551 0.000 0.500
0.449 0.449 0.500
0.000 0.551 0.500
```